The following is a DFT calculation (PBE) of a geometry-optimized Cd3CuPd8 structure.

Calculated values
ρ in Mg/m³: 8.770
Total energy in eV/atom: -3.840

Unit cell a=6.911 b=6.911 c=6.911 alpha=118.91 beta=118.91 gamma=91.91
Fractional coordinates of all 12 atoms:
Cd  0.000  0.000  0.000
Cd  0.250  0.750  0.500
Cd  0.750  0.250  0.500
Cu  0.500  0.500  0.000
Pd  0.151  0.151  0.735
Pd  0.214  0.686  0.000
Pd  0.314  0.314  0.528
Pd  0.416  0.416  0.265
Pd  0.584  0.849  0.000
Pd  0.686  0.214  0.000
Pd  0.786  0.786  0.472
Pd  0.849  0.584  0.000

---

The following is a DFT calculation (PBE) of a geometry-optimized CdCuPd2 structure.

Calculated values
ρ in Mg/m³: 9.467
Total energy in eV/atom: -3.715

Unit cell a=5.923 b=5.923 c=5.923 alpha=152.94 beta=133.49 gamma=54.64
Fractional coordinates of all 4 atoms:
Cd  0.000  0.000  0.000
Cu  0.500  0.500  0.000
Pd  0.262  0.262  0.000
Pd  0.738  0.738  0.000

---

The following is a DFT calculation (PBE) of a geometry-optimized CdCuPd2 structure.

Calculated values
ρ in Mg/m³: 9.296
Total energy in eV/atom: -3.741

Unit cell a=9.655 b=9.655 c=9.655 alpha=156.86 beta=156.86 gamma=32.96
Fractional coordinates of all 8 atoms:
Cd  0.000  0.000  0.000
Cd  0.750  0.250  0.500
Cu  0.250  0.750  0.500
Cu  0.500  0.500  0.000
Pd  0.138  0.625  0.013
Pd  0.375  0.388  0.513
Pd  0.612  0.125  0.987
Pd  0.875  0.862  0.487